The following is a PBE calculation of a relaxed structure of Nb2BO, from the Alexandria database.

Properties
Its space group is I-42d, No. 122. The calculation puts the energy relative to the lowest polymorph listed for this composition at 0.000 eV per atom. As for the energy relative to the elements, uncorrected: -0.6030 eV/atom. The density of states at the Fermi level comes out at 0.60 states/eV/atom.

Cell: 6.063 6.063 6.063 Å, 132.94 132.94 68.75°
Positions (direct):
Nb  0.118  0.625  0.993
Nb  0.375  0.368  0.493
Nb  0.632  0.125  0.007
Nb  0.875  0.882  0.507
B  0.250  0.750  0.500
B  0.500  0.500  0.000
O  0.000  0.000  0.000
O  0.750  0.250  0.500